First-principles (GGA-PBE) data for a relaxed structure of MgCuP2O, as listed in the Alexandria database.

Lattice parameters (Å, degrees): 4.962 4.962 3.570 90.00 90.00 90.00
Atoms (fractional coordinates):
1 P 0.500 0.000 0.000
2 P 0.000 0.500 0.000
3 Cu 0.500 0.500 0.500
4 Mg 0.000 0.000 0.000
5 O 0.000 0.000 0.500

formation energy from raw total energies = 0.5516 eV/atom
crystal system = tetragonal
energy above the lowest structure with this stoichiometry = 0.327 eV/atom

=====

First-principles (GGA-PBE) data for a relaxed structure of SrInSb2, as listed in the Alexandria database.

Lattice parameters (Å, degrees): 3.699 3.699 8.979 90.00 90.00 90.00
Atoms (fractional coordinates):
1 Sb 0.000 0.000 0.511
2 Sb 0.000 0.000 0.989
3 In 0.500 0.500 0.750
4 Sr 0.500 0.500 0.250

formation energy from raw total energies = -0.3037 eV/atom
crystal system = tetragonal

=====

First-principles (GGA-PBE) data for a relaxed structure of YBePS2, as listed in the Alexandria database.

Lattice parameters (Å, degrees): 5.166 5.166 5.451 90.00 90.00 90.00
Site moments in Bohr magnetons follow the coordinates.
Atoms (fractional coordinates):
1 P 0.000 0.000 0.500  0.40
2 Be 0.500 0.500 0.500  -0.09
3 S 0.000 0.500 0.000  0.12
4 S 0.500 0.000 0.000  0.12
5 Y 0.000 0.000 0.000  0.00

formation energy from raw total energies = 0.5659 eV/atom
crystal system = tetragonal
energy above the lowest structure with this stoichiometry = 1.088 eV/atom

=====

First-principles (GGA-PBE) data for a relaxed structure of PaCl2F2, as listed in the Alexandria database.

Lattice parameters (Å, degrees): 3.945 4.523 12.766 90.00 90.00 90.00
Site moments in Bohr magnetons follow the coordinates.
Atoms (fractional coordinates):
1 Cl 0.000 0.500 0.127  -0.01
2 Cl 0.000 0.000 0.373  -0.01
3 Cl 0.000 0.500 0.873  -0.01
4 Cl 0.000 0.000 0.627  -0.01
5 Pa 0.000 0.500 0.500  1.01
6 Pa 0.000 0.000 0.000  1.01
7 F 0.500 0.500 0.595  -0.01
8 F 0.500 0.500 0.405  -0.01
9 F 0.500 0.000 0.905  -0.01
10 F 0.500 0.000 0.095  -0.01

formation energy from raw total energies = -2.7807 eV/atom
crystal system = orthorhombic
energy above the lowest structure with this stoichiometry = 0.000 eV/atom

=====

First-principles (GGA-PBE) data for a relaxed structure of HgBiBr3, as listed in the Alexandria database.

Lattice parameters (Å, degrees): 6.808 7.883 7.783 90.00 90.00 109.79
Atoms (fractional coordinates):
1 Br 0.960 0.748 0.999
2 Br 0.492 0.857 0.250
3 Br 0.960 0.748 0.501
4 Br 0.040 0.252 0.499
5 Br 0.508 0.143 0.750
6 Br 0.040 0.252 0.001
7 Hg 0.557 0.377 0.250
8 Hg 0.443 0.623 0.750
9 Bi 0.174 0.987 0.250
10 Bi 0.826 0.013 0.750

formation energy from raw total energies = -0.5127 eV/atom
crystal system = monoclinic
energy above the lowest structure with this stoichiometry = 0.000 eV/atom

=====

First-principles (GGA-PBE) data for a relaxed structure of Sr2Zn3HgAu4, as listed in the Alexandria database.

Lattice parameters (Å, degrees): 4.623 4.623 10.789 90.00 90.00 90.00
Atoms (fractional coordinates):
1 Sr 0.500 0.000 0.240
2 Sr 0.000 0.500 0.760
3 Zn 0.000 0.500 0.115
4 Zn 0.500 0.000 0.885
5 Zn 0.000 0.000 0.500
6 Au 0.000 0.000 0.000
7 Au 0.500 0.500 0.000
8 Au 0.000 0.500 0.351
9 Au 0.500 0.000 0.649
10 Hg 0.500 0.500 0.500

crystal system = tetragonal
VASP energy = -2.5462 eV/atom

=====

First-principles (GGA-PBE) data for a relaxed structure of Li2YCu, as listed in the Alexandria database.

Lattice parameters (Å, degrees): 3.984 3.972 5.186 90.00 90.00 90.00
Atoms (fractional coordinates):
1 Cu 0.000 0.500 0.500
2 Li 0.500 0.500 0.000
3 Li 0.000 0.000 0.000
4 Y 0.500 0.000 0.500

crystal system = orthorhombic
energy above the lowest structure with this stoichiometry = 0.081 eV/atom

=====

First-principles (GGA-PBE) data for a relaxed structure of Mg12AgPd6, as listed in the Alexandria database.

Lattice parameters (Å, degrees): 7.624 7.624 7.624 107.53 107.53 107.53
Atoms (fractional coordinates):
1 Mg 0.983 0.128 0.673
2 Mg 0.582 0.904 0.664
3 Mg 0.128 0.673 0.983
4 Mg 0.327 0.017 0.872
5 Mg 0.336 0.418 0.096
6 Mg 0.664 0.582 0.904
7 Mg 0.872 0.327 0.017
8 Mg 0.096 0.336 0.418
9 Mg 0.418 0.096 0.336
10 Mg 0.017 0.872 0.327
11 Mg 0.673 0.983 0.128
12 Mg 0.904 0.664 0.582
13 Pd 0.338 0.651 0.772
14 Pd 0.772 0.338 0.651
15 Pd 0.651 0.772 0.338
16 Pd 0.662 0.349 0.228
17 Pd 0.228 0.662 0.349
18 Pd 0.349 0.228 0.662
19 Ag 0.000 0.000 0.000

crystal system = trigonal
VASP energy = -3.1620 eV/atom